# 1
A plane-wave DFT calculation with PBE was carried out for Re2ClF after structural relaxation.

DFT total energy	-5.735	eV/atom
formation energy without anion corrections	1418	meV/atom
density of states at the Fermi level	0.0	states/eV/f.u.
excess energy over the best structure of this formula in the dataset	0.092	eV per atom
space-group type	I-42d
mass density	10.586	g cm⁻³

abc: 5.1500 5.1500 6.2256
angles: 65.57 65.57 90.00
Element x y z (fractional)
Re1 0.1084 0.6250 0.2500
Re2 0.8750 0.8916 0.7500
Re3 0.3750 0.3584 0.7500
Re4 0.6416 0.1250 0.2500
F1 0.5000 0.5000 0.0000
F2 0.2500 0.7500 0.5000
Cl1 0.0000 0.0000 0.0000
Cl2 0.7500 0.2500 0.5000

# 2
A plane-wave DFT calculation with PBE was carried out for ReCl2F after structural relaxation.

DFT total energy	-4.259	eV/atom
formation energy without anion corrections	244	meV/atom
density of states at the Fermi level	1.0	states/eV/f.u.
excess energy over the best structure of this formula in the dataset	0.206	eV per atom
space-group type	Fm-3m
mass density	8.573	g cm⁻³

abc: 4.2291 4.2291 4.2291
angles: 60.00 60.00 60.00
Element x y z (fractional)
F1 0.0000 0.0000 0.0000
Cl1 0.7500 0.7500 0.7500
Cl2 0.2500 0.2500 0.2500
Re1 0.5000 0.5000 0.5000

# 3
A plane-wave DFT calculation with PBE was carried out for ReClF6 after structural relaxation.

DFT total energy	-4.907	eV/atom
formation energy without anion corrections	-1717	meV/atom
density of states at the Fermi level	4.1	states/eV/f.u.
space-group type	C2/m
mass density	3.951	g cm⁻³

abc: 5.6138 5.6150 6.1057
angles: 62.56 62.55 59.96
Site moments in Bohr magnetons follow the coordinates.
Element x y z (fractional)
Cl1 0.5000 0.5000 0.5000  0.41
F1 0.9156 0.3796 0.7909  -0.01
F2 0.6203 0.0853 0.2092  -0.01
F3 0.0851 0.0841 0.2096  -0.01
F4 0.0844 0.6204 0.2091  -0.01
F5 0.3797 0.9147 0.7908  -0.01
F6 0.9149 0.9159 0.7904  -0.01
Re1 0.0000 0.0000 0.0000  -0.48

# 4
A plane-wave DFT calculation with PBE was carried out for ReCl2F6 after structural relaxation.

DFT total energy	-4.686	eV/atom
formation energy without anion corrections	-1645	meV/atom
density of states at the Fermi level	7.7	states/eV/f.u.
excess energy over the best structure of this formula in the dataset	0.000	eV per atom
space-group type	P1
mass density	3.124	g cm⁻³

abc: 4.9089 5.2982 16.0151
angles: 108.72 90.19 89.76
Site moments in Bohr magnetons follow the coordinates.
Element x y z (fractional)
F1 0.7822 0.7813 0.4109  0.03
F2 0.7878 0.2950 0.5004  0.03
F3 0.2166 0.2218 0.5905  0.03
F4 0.2122 0.7077 0.5006  0.03
F5 0.2842 0.7244 0.0902  0.03
F6 0.7162 0.2783 0.9111  0.03
F7 0.2870 0.2099 0.0009  0.03
F8 0.7292 0.4416 0.0856  0.03
F9 0.7125 0.7926 0.0001  0.03
F10 0.7709 0.9425 0.5853  0.03
F11 0.2693 0.5607 0.9156  0.03
F12 0.2302 0.0600 0.4160  0.03
Cl1 0.7884 0.1770 0.2502  0.00
Cl2 0.7131 0.6715 0.7469  0.00
Cl3 0.1651 0.3190 0.2490  0.00
Cl4 0.3353 0.8139 0.7457  0.00
Re1 0.4998 0.5013 0.0005  0.76
Re2 0.9999 0.0014 0.5005  0.76

# 5
A plane-wave DFT calculation with PBE was carried out for ReClF4 after structural relaxation.

DFT total energy	-5.304	eV/atom
formation energy without anion corrections	-1674	meV/atom
density of states at the Fermi level	2.8	states/eV/f.u.
space-group type	P2_1/c
mass density	4.005	g cm⁻³

abc: 9.0022 10.2451 5.6468
angles: 90.00 90.00 28.29
Site moments in Bohr magnetons follow the coordinates.
Element x y z (fractional)
Cl1 0.5000 0.5000 0.0000  0.04
Cl2 0.5000 0.0000 0.5000  0.04
F1 0.1835 0.9988 0.1613  0.07
F2 0.1020 0.9995 0.7097  0.07
F3 0.8980 0.0005 0.2903  0.07
F4 0.8165 0.0012 0.8387  0.07
F5 0.8165 0.5012 0.6613  0.07
F6 0.1020 0.4995 0.7903  0.07
F7 0.8980 0.5005 0.2097  0.07
F8 0.1835 0.4988 0.3387  0.07
Re1 0.0000 0.0000 0.0000  1.49
Re2 0.0000 0.5000 0.5000  1.49

# 6
A plane-wave DFT calculation with PBE was carried out for Re2ClF after structural relaxation.

DFT total energy	-5.827	eV/atom
formation energy without anion corrections	1327	meV/atom
density of states at the Fermi level	4.4	states/eV/f.u.
excess energy over the best structure of this formula in the dataset	0.000	eV per atom
space-group type	Fm-3m
mass density	13.429	g cm⁻³

abc: 4.2105 4.2105 4.2105
angles: 60.00 60.00 60.00
Element x y z (fractional)
F1 0.0000 0.0000 0.0000
Re1 0.7500 0.7500 0.7500
Re2 0.2500 0.2500 0.2500
Cl1 0.5000 0.5000 0.5000